1.
Density functional theory data (GGA-PBE) for an optimized crystal structure of BaTlCuSn2.

Structure (POSCAR):
```
BaTlCuSn2
1.0
5.221 0.000 0.000
0.000 5.221 0.000
0.000 0.000 5.509
Ba Tl Cu Sn
1 1 1 2
Cartesian
0.000 0.000 0.000
2.610 2.610 0.000
2.610 2.610 2.754
0.000 2.610 2.754
2.610 0.000 2.754
```

E_tot (eV per atom): -3.423
V (Å³ per atom): 30.03
Space group: P4/mmm (123)
Energy of formation (eV per atom): -0.14

=====

2.
Density functional theory data (GGA-PBE) for an optimized crystal structure of Cs2NpAg2S4.

Structure (POSCAR):
```
Cs2NpAg2S4
1.0
7.618 -2.095 0.000
7.618 2.095 0.000
-2.623 0.000 7.788
Cs Np Ag S
2 1 2 4
Cartesian
1.911 0.000 0.529
10.702 0.000 7.259
-1.312 0.000 3.894
3.535 0.000 4.038
9.078 0.000 3.750
1.068 0.000 5.228
5.573 0.000 5.553
7.039 0.000 2.235
11.544 0.000 2.561
```

E_tot (eV per atom): -5.035
V (Å³ per atom): 27.62
Space group: C2/m (12)
Formation energy (no corrections) (meV per atom): -940

=====

3.
Density functional theory data (GGA-PBE) for an optimized crystal structure of LiGaCo2.

Structure (POSCAR):
```
LiGaCo2
1.0
3.533 0.000 0.000
0.000 3.533 0.000
0.000 0.000 3.782
Li Ga Co
1 1 2
Cartesian
0.000 0.000 0.000
1.767 1.767 0.000
0.000 1.767 1.891
1.767 0.000 1.891
```

E_tot (eV per atom): -4.812
V (Å³ per atom): 11.81
Space group: P4/mmm (123)
Energy of formation (eV per atom): -0.02

=====

Q: Which value of V does entry 1 give?
A: 30.03 Å³ per atom